a.
The following is a GGA-PBE calculation of a relaxed structure of Ba2Zn4Ir, from Alexandria via LeMat-Bulk.

```
Ba2Zn4Ir
1.0
-3.919 4.315 1.504
-2.859 -0.783 -5.239
0.168 -5.504 4.188
Zn Ba Ir
4 2 1
Direct
0.711 0.711 0.000
0.711 0.289 0.000
0.289 0.289 0.000
0.289 0.711 0.000
0.750 0.250 0.500
0.250 0.750 0.500
0.000 0.000 0.000
```

- space group = No. 69



b.
The following is a GGA-PBE calculation of a relaxed structure of Ba2Zn4Ir, from Alexandria via LeMat-Bulk.

```
Ba2Zn4Ir
1.0
-1.432 4.237 -2.105
1.730 -1.578 -4.353
-7.347 -2.071 -4.975
Ba Ir Zn
2 1 4
Direct
0.356 0.356 0.288
0.644 0.644 0.712
0.000 0.000 0.000
0.000 0.500 0.000
0.500 0.000 0.000
0.145 0.145 0.710
0.855 0.855 0.290
```

- space group = No. 139



Which structure loses on stability? a does.



a.
The following is a GGA-PBE calculation of a relaxed structure of BaZn3Ir, from Alexandria via LeMat-Bulk.

```
BaZn3Ir
1.0
-12.396 -2.253 5.409
-3.073 -4.197 6.496
6.841 4.223 2.150
Ir Ba Zn
4 4 12
Direct
0.691 0.882 0.458
0.309 0.118 0.542
0.191 0.042 0.618
0.809 0.958 0.382
0.250 0.392 0.892
0.750 0.608 0.108
0.250 0.770 0.270
0.750 0.230 0.730
0.098 0.269 0.079
0.406 0.235 0.441
0.906 0.059 0.265
0.402 0.579 0.769
0.094 0.941 0.735
0.403 0.893 0.088
0.597 0.107 0.912
0.903 0.412 0.607
0.097 0.588 0.393
0.594 0.765 0.559
0.902 0.731 0.921
0.598 0.421 0.231
```

- space group = No. 15



b.
The following is a GGA-PBE calculation of a relaxed structure of BaZn3Ir, from Alexandria via LeMat-Bulk.

```
BaZn3Ir
1.0
4.982 0.000 1.092
0.000 6.471 0.000
-0.853 0.000 7.233
Ir Ba Zn
2 2 6
Direct
0.028 0.750 0.800
0.972 0.250 0.200
0.813 0.250 0.637
0.187 0.750 0.363
0.536 0.750 0.766
0.746 0.546 0.052
0.254 0.454 0.948
0.464 0.250 0.234
0.746 0.954 0.052
0.254 0.046 0.948
```

- space group = No. 11



c.
The following is a GGA-PBE calculation of a relaxed structure of BaZn3Ir, from Alexandria via LeMat-Bulk.

```
BaZn3Ir
1.0
-1.081 3.612 -5.093
-6.317 0.797 -1.776
2.558 3.995 5.004
Zn Ba Ir
6 2 2
Direct
0.437 0.215 0.930
0.703 0.287 0.429
0.010 0.457 0.833
0.541 0.057 0.527
0.571 0.482 0.837
0.599 0.608 0.253
0.123 0.677 0.430
0.063 0.019 0.043
0.644 0.897 0.120
0.643 0.737 0.681
```

- space group = No. 1



d.
The following is a GGA-PBE calculation of a relaxed structure of BaZn3Ir, from Alexandria via LeMat-Bulk.

```
BaZn3Ir
1.0
-23.135 -1.565 -5.526
-0.805 -4.588 4.672
8.709 2.775 4.227
Zn Ir Ba
12 4 4
Direct
0.403 0.264 0.478
0.231 0.032 0.709
0.420 0.928 0.718
0.097 0.764 0.022
0.769 0.968 0.291
0.580 0.072 0.282
0.903 0.236 0.978
0.920 0.572 0.218
0.731 0.468 0.209
0.080 0.428 0.782
0.597 0.736 0.522
0.269 0.532 0.791
0.670 0.201 0.248
0.830 0.701 0.252
0.330 0.799 0.752
0.170 0.299 0.748
0.331 0.788 0.215
0.169 0.288 0.285
0.831 0.712 0.715
0.669 0.212 0.785
```

- space group = No. 14



Which structure loses on stability? a does.



a.
The following is a GGA-PBE calculation of a relaxed structure of BaZn3Ir, from Alexandria via LeMat-Bulk.

```
BaZn3Ir
1.0
-2.433 3.325 -5.422
-3.048 -5.664 1.942
-3.078 -0.173 6.504
Zn Ir Ba
6 2 2
Direct
0.152 0.698 0.878
0.869 0.178 0.473
0.464 0.534 0.918
0.844 0.373 0.061
0.616 0.999 0.904
0.295 0.118 0.874
0.008 0.292 0.840
0.834 0.828 0.842
0.172 0.889 0.360
0.554 0.538 0.457
```

- space group = No. 1



b.
The following is a GGA-PBE calculation of a relaxed structure of BaZn3Ir, from Alexandria via LeMat-Bulk.

```
BaZn3Ir
1.0
-3.596 -0.534 0.686
-0.607 -0.543 -3.608
1.328 -7.742 0.941
Ba Zn Ir
1 3 1
Direct
0.000 0.000 0.044
0.000 0.500 0.429
0.500 0.000 0.429
0.000 0.000 0.670
0.500 0.500 0.691
```

- space group = No. 99



Which structure loses on stability? b does.